{
  "formula": "Ce2Si6Rh",
  "functional": "GGA-PBE",
  "state": "relaxed",
  "raw_formation_energy_ev_per_atom": -0.605,
  "m_tot_mub_per_cell": 0.0,
  "vol_a3_per_atom": 17.05,
  "spacegroup": "P-3m1 (164)",
  "cell": [[-2.126, -2.015, -4.307], [-3.624, -3.184, 3.279], [-5.191, 2.162, 1.550]],
  "species": ["Rh", "Si", "Si", "Si", "Si", "Ce", "Si", "Si", "Ce"],
  "frac_coords": [[0.000, 0.000, 0.000], [0.677, 0.638, 0.181], [0.677, 0.181, 0.638], [0.323, 0.819, 0.362], [0.677, 0.181, 0.181], [0.175, 0.333, 0.333], [0.323, 0.362, 0.819], [0.323, 0.819, 0.819], [0.825, 0.667, 0.667]]
}